## SmYGePt (GGA-PBE)

Data for SmYGePt after structural relaxation.

Structure (POSCAR):
```
SmYGePt
1.0
0.000 3.584 3.584
3.584 0.000 3.584
3.584 3.584 0.000
Sm Y Ge Pt
1 1 1 1
Direct
0.000 0.000 0.000 Sm
0.500 0.500 0.500 Y
0.250 0.250 0.250 Ge
0.750 0.750 0.750 Pt
```

Properties
The magnetic moment is 0.00 μB per cell. The total energy comes out at -0.2339 hartree per atom. For the relative energy among the computed polymorphs, the calculation gives 146 meV/atom. The formation energy comes out at -87 kJ/mol of atoms. The symmetry is F-43m, No. 216.